Entry from the Alexandria database: crystalline TaH2S at its relaxed geometry (PBE-GGA).

Lattice parameters (Å, degrees): 3.320 3.320 4.631 111.07 111.07 60.05
Element x y z (fractional)
Ta 0.000 0.000 0.000
H 0.306 0.306 0.915
H 0.607 0.607 0.819
S 0.797 0.797 0.390

* offset from the most stable computed form: 0.00 kcal/mol of atoms
* total magnetic moment: 0.00 μB/cell